A plane-wave DFT calculation with PBE was carried out for an optimized crystal structure of ErMgAgGe.

```
ErMgAgGe
1.0
4.894 0.000 0.000
2.447 4.238 0.000
2.447 1.413 3.996
Mg Ag Er Ge
1 1 1 1
Cartesian
4.894 2.825 1.998
7.340 4.238 2.997
0.000 0.000 0.000
2.447 1.413 0.999
```

Properties
**Space-group type**: F-43m, No. 216
**Total energy**: -3.82 eV per atom
**DOS at the Fermi energy**: 0.311 states/eV per atom
**ΔH_f (0 K)**: -412 meV per atom


A plane-wave DFT calculation with PBE was carried out for an optimized crystal structure of NaErAgGe.

```
NaErAgGe
1.0
-0.806 -4.896 -0.237
1.551 -2.584 -3.949
3.802 -3.167 0.441
Na Er Ag Ge
1 1 1 1
Cartesian
2.274 -5.324 -1.872
0.000 0.000 0.000
3.410 -7.986 -2.809
1.137 -2.662 -0.936
```

Properties
**Space-group type**: F-43m, No. 216
**Total energy**: -3.62 eV per atom
**DOS at the Fermi energy**: 0.510 states/eV per atom
**ΔH_f (0 K)**: -286 meV per atom


A plane-wave DFT calculation with PBE was carried out for an optimized crystal structure of NdErAgGe.

```
NdErAgGe
1.0
5.147 0.000 0.000
2.574 4.458 0.000
2.574 1.486 4.203
Ge Ag Nd Er
1 1 1 1
Cartesian
2.574 1.486 1.051
7.721 4.458 3.152
5.147 2.972 2.101
0.000 0.000 0.000
```

Properties
**Space-group type**: F-43m, No. 216
**Total energy**: -4.71 eV per atom
**DOS at the Fermi energy**: 0.917 states/eV per atom
**ΔH_f (0 K)**: -507 meV per atom